*a*
VASP calculation (PBE-GGA) on a relaxed Li2PrAg crystal.

extended XYZ file:
```
4
Lattice="3.407 0.000 0.000 0.000 3.407 0.000 0.000 0.000 7.502" Properties=species:S:1:pos:R:3 pbc="T T T"
Pr 1.703 1.703 3.751
Ag 1.703 1.703 0.000
Li 0.000 0.000 6.137
Li 0.000 0.000 1.364
```

Properties
Symmetry: P4/mmm (123)
Calculated density, g/cm³: 5.01


*b*
VASP calculation (PBE-GGA) on a relaxed Li2PrAg crystal.

extended XYZ file:
```
4
Lattice="-0.626 4.908 -0.287 -4.497 1.876 -0.909 -2.454 2.399 3.576" Properties=species:S:1:pos:R:3 pbc="T T T"
Pr 0.000 0.000 0.000
Ag -3.788 4.592 1.190
Li -1.894 2.296 0.595
Li -5.683 6.887 1.785
```

Properties
Symmetry: Fm-3m (225)
Calculated density, g/cm³: 5.07


Which of them is the least stable? Correct choice: *b*.


*a*
VASP calculation (PBE-GGA) on a relaxed Li2PrAg crystal.

extended XYZ file:
```
4
Lattice="-1.120 0.103 2.992 -0.137 -2.673 1.748 9.323 0.989 5.165" Properties=species:S:1:pos:R:3 pbc="T T T"
Pr 0.000 0.000 0.000
Ag 4.033 -0.791 4.953
Li 6.388 0.433 4.085
Li 1.677 -2.015 5.820
```

Properties
Symmetry: R-3m (166)
Calculated density, g/cm³: 4.67


*b*
VASP calculation (PBE-GGA) on a relaxed Li2PrAg crystal.

extended XYZ file:
```
8
Lattice="4.273 -0.463 0.000 -1.559 5.623 0.000 0.000 0.000 7.923" Properties=species:S:1:pos:R:3 pbc="T T T"
Li 0.396 3.722 0.441
Li 0.396 3.722 3.520
Li 2.317 1.438 7.482
Li 2.317 1.438 4.402
Pr 0.068 0.634 1.981
Pr 2.646 4.526 5.942
Ag 2.452 2.728 1.981
Ag 0.262 2.432 5.942
```

Properties
Symmetry: P2_1/m (11)
Calculated density, g/cm³: 4.72


Which of them is the least stable? Correct choice: *a*.


*a*
VASP calculation (PBE-GGA) on a relaxed LiPrAg2 crystal.

extended XYZ file:
```
4
Lattice="-0.842 3.527 -2.929 -3.845 2.586 0.510 0.867 5.068 2.145" Properties=species:S:1:pos:R:3 pbc="T T T"
Pr 0.000 0.000 0.000
Ag -3.126 8.059 -0.524
Ag -0.693 3.122 0.250
Li -1.910 5.590 -0.137
```

Properties
Symmetry: R-3m (166)
Calculated density, g/cm³: 6.58


*b*
VASP calculation (PBE-GGA) on a relaxed LiPrAg2 crystal.

extended XYZ file:
```
4
Lattice="-1.145 1.268 -2.975 1.650 -2.485 -1.695 -5.919 -4.250 0.467" Properties=species:S:1:pos:R:3 pbc="T T T"
Pr -2.707 -2.733 -2.101
Ag -4.747 -3.408 0.375
Ag -1.173 -0.842 0.093
Li 0.253 -0.608 -2.335
```

Properties
Symmetry: P4/mmm (123)
Calculated density, g/cm³: 7.02


Which of them is the least stable? Correct choice: *b*.


*a*
VASP calculation (PBE-GGA) on a relaxed LiPrAg2 crystal.

extended XYZ file:
```
4
Lattice="5.076 0.000 0.000 2.538 4.396 0.000 2.538 1.465 4.145" Properties=species:S:1:pos:R:3 pbc="T T T"
Pr 0.000 0.000 0.000
Ag 2.538 1.465 1.036
Ag 7.614 4.396 3.108
Li 5.076 2.931 2.072
```

Properties
Symmetry: Fm-3m (225)
Calculated density, g/cm³: 6.53


*b*
VASP calculation (PBE-GGA) on a relaxed LiPrAg2 crystal.

extended XYZ file:
```
4
Lattice="3.397 0.000 0.000 0.000 5.226 0.000 0.000 0.000 5.226" Properties=species:S:1:pos:R:3 pbc="T T T"
Pr 1.699 0.000 0.000
Ag 0.000 0.000 2.613
Ag 0.000 2.613 0.000
Li 1.699 2.613 2.613
```

Properties
Symmetry: P4/mmm (123)
Calculated density, g/cm³: 6.51


*c*
VASP calculation (PBE-GGA) on a relaxed LiPrAg2 crystal.

extended XYZ file:
```
16
Lattice="5.794 0.000 0.000 0.000 7.587 0.000 0.000 0.000 7.780" Properties=species:S:1:pos:R:3 pbc="T T T"
Li 3.753 1.897 2.973
Li 0.856 5.690 0.917
Li 2.041 5.690 4.807
Li 4.938 1.897 6.863
Pr 2.106 1.897 0.285
Pr 5.003 5.690 3.605
Pr 3.689 5.690 7.495
Pr 0.791 1.897 4.175
Ag 5.280 0.429 1.376
Ag 2.383 7.157 2.514
Ag 0.514 4.223 6.404
Ag 3.412 3.364 5.266
Ag 0.514 7.157 6.404
Ag 3.412 0.429 5.266
Ag 5.280 3.364 1.376
Ag 2.383 4.223 2.514
```

Properties
Symmetry: Pnma (62)
Calculated density, g/cm³: 7.06


Which of them is the least stable? Correct choice: *b*.


*a*
VASP calculation (PBE-GGA) on a relaxed LiPr2Ag crystal.

extended XYZ file:
```
4
Lattice="4.695 0.000 0.000 2.347 4.060 0.012 2.347 1.324 5.768" Properties=species:S:1:pos:R:3 pbc="T T T"
Li 4.695 4.747 4.809
Pr 7.042 3.400 3.076
Pr 4.695 2.063 0.774
Ag 4.695 2.040 4.736
```

Properties
Symmetry: Cm (8)
Calculated density, g/cm³: 6.00


*b*
VASP calculation (PBE-GGA) on a relaxed LiPr2Ag crystal.

extended XYZ file:
```
4
Lattice="-1.663 2.448 2.589 -4.720 -2.088 -1.057 0.717 -3.555 3.821" Properties=species:S:1:pos:R:3 pbc="T T T"
Pr 0.359 -1.778 1.911
Pr -2.360 -1.044 -0.528
Ag -2.833 -1.598 2.677
Li -0.831 1.224 1.295
```

Properties
Symmetry: P4/mmm (123)
Calculated density, g/cm³: 6.03


*c*
VASP calculation (PBE-GGA) on a relaxed LiPr2Ag crystal.

extended XYZ file:
```
4
Lattice="5.374 0.000 0.000 2.687 4.654 0.000 2.687 1.551 4.388" Properties=species:S:1:pos:R:3 pbc="T T T"
Pr 2.687 1.551 1.097
Pr 8.060 4.654 3.291
Ag 5.374 3.102 2.194
Li 0.000 0.000 0.000
```

Properties
Symmetry: Fm-3m (225)
Calculated density, g/cm³: 6.00


Which of them is the least stable? Correct choice: *a*.


*a*
VASP calculation (PBE-GGA) on a relaxed LiPr3Ag2 crystal.

extended XYZ file:
```
6
Lattice="-3.179 -0.773 -1.946 -1.024 -2.512 2.671 -5.466 8.241 5.655" Properties=species:S:1:pos:R:3 pbc="T T T"
Li -4.835 2.478 3.190
Pr 0.000 0.000 0.000
Pr -3.680 5.548 3.808
Pr -1.786 2.692 1.848
Ag -6.646 5.209 5.064
Ag -3.023 -0.254 1.315
```

Properties
Symmetry: P4/mmm (123)
Calculated density, g/cm³: 6.49


*b*
VASP calculation (PBE-GGA) on a relaxed LiPr3Ag2 crystal.

extended XYZ file:
```
6
Lattice="3.866 0.000 0.000 0.000 5.021 -1.662 0.000 0.008 8.439" Properties=species:S:1:pos:R:3 pbc="T T T"
Li 0.000 0.000 0.000
Pr 1.933 2.511 -0.831
Pr 1.933 4.162 4.158
Pr 1.933 0.867 2.619
Ag 0.000 1.726 5.214
Ag 0.000 3.303 1.563
```

Properties
Symmetry: Cmmm (65)
Calculated density, g/cm³: 6.54


Which of them is the least stable? Correct choice: *a*.


*a*
VASP calculation (PBE-GGA) on a relaxed Li2Pr3Ag4 crystal.

extended XYZ file:
```
9
Lattice="4.635 0.000 1.369 2.030 5.364 1.659 -0.026 -0.005 8.618" Properties=species:S:1:pos:R:3 pbc="T T T"
Li 3.604 5.288 4.858
Li 3.034 0.071 6.789
Pr 2.859 3.301 7.383
Pr 0.000 0.000 0.000
Pr 3.780 2.058 4.264
Ag 2.058 2.017 1.562
Ag 4.580 3.342 10.085
Ag 0.844 1.301 5.675
Ag 5.795 4.058 5.972
```

Properties
Symmetry: C2/m (12)
Calculated density, g/cm³: 6.72


*b*
VASP calculation (PBE-GGA) on a relaxed Li2Pr3Ag4 crystal.

extended XYZ file:
```
9
Lattice="4.535 0.000 0.000 -2.268 5.326 0.058 0.000 -1.317 9.154" Properties=species:S:1:pos:R:3 pbc="T T T"
Li 0.000 3.120 2.012
Li 2.268 0.890 7.200
Pr 0.000 3.180 5.681
Pr 0.000 0.000 0.000
Pr 2.268 0.830 3.531
Ag 2.268 2.213 0.785
Ag 0.000 0.047 5.888
Ag 2.268 3.963 3.325
Ag 0.000 1.796 8.427
```

Properties
Symmetry: C2/m (12)
Calculated density, g/cm³: 6.51


Which of them is the least stable? Correct choice: *b*.


*a*
VASP calculation (PBE-GGA) on a relaxed LiPrZnAg crystal.

extended XYZ file:
```
4
Lattice="-4.277 -1.661 -1.998 -0.350 -4.735 -1.581 -2.830 -3.274 2.513" Properties=species:S:1:pos:R:3 pbc="T T T"
Pr 0.000 0.000 0.000
Zn -5.593 -7.252 -0.799
Ag -1.864 -2.417 -0.266
Li -3.729 -4.835 -0.533
```

Properties
Symmetry: F-43m (216)
Calculated density, g/cm³: 6.02


*b*
VASP calculation (PBE-GGA) on a relaxed LiPrZnAg crystal.

extended XYZ file:
```
4
Lattice="-3.322 -0.927 -3.097 0.544 -5.374 1.025 -1.096 4.180 3.394" Properties=species:S:1:pos:R:3 pbc="T T T"
Li -0.994 -2.125 1.703
Pr -2.905 0.051 -0.369
Zn -1.610 -2.680 -0.940
Ag -4.173 2.736 0.189
```

Properties
Symmetry: Cm (8)
Calculated density, g/cm³: 6.01


Which of them is the least stable? Correct choice: *a*.